DyGaAgPb | PBE | optimized geometry

The structure belongs to space group F-43m (No. 216); the cell edges are 7.2218, 7.2218 and 7.2218 Å and the angles 90.00°, 90.00° and 90.00°. The inequivalent atoms are Dy at (0.0000, 0.0000, 0.0000), Ga at (0.2500, 0.2500, 0.2500), Ag at (0.2500, 0.2500, 0.7500) and Pb at (0.0000, 0.0000, 0.5000).

As for the total magnetic moment: 0.00 μB per formula unit. The calculation puts the energy of formation from the pure elements at -0.186 eV/atom. The value obtained for the total energy is -3.7332 eV/atom.